## i
# CdAuCl4

Crystalline CdAuCl4 at its relaxed geometry (PBE, Alexandria via LeMat-Bulk).

ρ in kg/m3: 4497
V in Å³ per cell: 333
Size of the total moment in Bohr magnetons per cell: 2.06
D(E_F) in states/eV per cell: 2.4

abc: 6.565 4.068 13.791
angles: 90.00 115.20 90.00
Space group P2_1/c (No. 14)
Symmetry-distinct sites (fractional):
Cd 0.000 0.000 0.000 (multiplicity 2)
Au 0.500 0.000 0.500 (multiplicity 2)
Cl 0.207 0.124 0.880 (multiplicity 4)
Cl 0.286 0.511 0.112 (multiplicity 4)

## ii
# CdAuCl4

Crystalline CdAuCl4 at its relaxed geometry (PBE, Alexandria via LeMat-Bulk).

ρ in kg/m3: 5213
V in Å³ per cell: 575
Size of the total moment in Bohr magnetons per cell: 8.43
D(E_F) in states/eV per cell: 15.0

abc: 8.315 8.315 8.315
angles: 90.00 90.00 90.00
Space group F-43m (No. 216)
Symmetry-distinct sites (fractional):
Cd 0.000 0.000 0.000 (multiplicity 4)
Au 0.250 0.250 0.250 (multiplicity 4)
Cl 0.125 0.125 0.625 (multiplicity 16)

The least stable of them is ii.